DFT (PBE+U) results for a geometry-optimized ZnCrInF6 structure.

## Properties
- spin magnetization (μB per formula unit) = 3.48
- electronic total energy (eV per atom) = -4.808
- SG = C2 (5)
- crystal system = monoclinic
- theoretical density (g cm⁻³) = 4.40
- calculated volume (A^3/atom) = 14.52

a = 5.4361 Å, b = 5.6598 Å, c = 4.9779 Å
α = 91.93°, β = 91.01°, γ = 58.63°
Last column: nearest neighbours and their distance in Å.
Sites, in units of the cell vectors:
F: 0.9967 0.3552 0.2802  1 Cr 2.05, 1 Zn 2.10
F: 0.6495 0.3344 0.7391  1 Zn 2.05, 1 In 2.27
F: 0.3535 0.0065 0.7106  1 Cr 2.04, 1 Zn 2.11
Cr: 0.6636 0.6682 0.5000  4 F 2.04-2.05
Zn: 0.3422 0.3289 0.5000  6 F 2.05-2.11
F: 0.6493 0.0161 0.2607  1 Zn 2.05, 1 In 2.27
In: 0.9947 0.0027 0.0000  6 F 2.27-2.45
F: 0.3535 0.6399 0.2894  1 Cr 2.04, 1 Zn 2.11
F: 0.9967 0.6482 0.7198  1 Cr 2.05, 1 Zn 2.10